Record 1
## NdHoGeS (PBE)

Data for a relaxed NdHoGeS crystal.

Geometry as CIF:
```
data_NdHoGeS
_space_group_name_H-M_alt 'R 3 m'
_space_group_IT_number 160
_space_group_name_Hall 'R 3 -2"'
_cell_length_a 4.1089
_cell_length_b 4.1089
_cell_length_c 20.2408
_cell_angle_alpha 90.00
_cell_angle_beta 90.00
_cell_angle_gamma 120.00
loop_
_atom_site_label
_atom_site_type_symbol
_atom_site_fract_x
_atom_site_fract_y
_atom_site_fract_z
Nd1 Nd 0.0000 0.0000 0.0000
Ho1 Ho 0.0000 0.0000 0.5004
Ge1 Ge 0.0000 0.0000 0.7534
S1 S 0.0000 0.0000 0.2460
```

Results
The uncorrected formation energy comes out at -554.0 kJ/mol of formula units.

***

Record 2
## FeNiTe2 (PBE)

Data for a relaxed FeNiTe2 crystal.

Geometry as CIF:
```
data_FeNiTe2
_space_group_name_H-M_alt 'P 4/m m m'
_space_group_IT_number 123
_space_group_name_Hall '-P 4 2'
_cell_length_a 4.636
_cell_length_b 4.636
_cell_length_c 3.338
_cell_angle_alpha 90.00
_cell_angle_beta 90.00
_cell_angle_gamma 90.00
loop_
_atom_site_label
_atom_site_type_symbol
_atom_site_fract_x
_atom_site_fract_y
_atom_site_fract_z
Fe1 Fe 0.000 0.000 0.000
Ni1 Ni 0.500 0.500 0.000
Te1 Te 0.000 0.500 0.500
```

Results
The uncorrected formation energy comes out at 150.8 kJ/mol of formula units. For the distance to the lowest polymorph of the same formula, the calculation gives 187 kJ/mol of formula units.

***

Record 3
## Pr2Tm3Os2 (PBE)

Data for a relaxed Pr2Tm3Os2 crystal.

Geometry as CIF:
```
data_Pr2Tm3Os2
_space_group_name_H-M_alt 'C 1 2/m 1'
_space_group_IT_number 12
_cell_length_a 11.832
_cell_length_b 4.857
_cell_length_c 6.822
_cell_angle_alpha 90.00
_cell_angle_beta 111.48
_cell_angle_gamma 90.00
loop_
_space_group_symop_operation_xyz
'x,y,z'
'-x,-y,-z'
'-x,y,-z'
'x,-y,z'
'x+1/2,y+1/2,z'
'-x+1/2,-y+1/2,-z'
'-x+1/2,y+1/2,-z'
'x+1/2,-y+1/2,z'
loop_
_atom_site_label
_atom_site_type_symbol
_atom_site_fract_x
_atom_site_fract_y
_atom_site_fract_z
Pr1 Pr 0.149 0.000 0.336
Tm1 Tm 0.000 0.500 0.500
Tm2 Tm 0.150 0.500 0.995
Os1 Os 0.109 0.000 0.746
```

Results
The calculation puts the formation enthalpy at 0 K at -0.086 eV per atom.

***

Record 4
## CsAc2ReO8 (PBE)

Data for a relaxed CsAc2ReO8 crystal.

Geometry as CIF:
```
data_CsAc2ReO8
_space_group_name_H-M_alt 'P -1'
_space_group_IT_number 2
_cell_length_a 4.639
_cell_length_b 5.439
_cell_length_c 8.148
_cell_angle_alpha 89.93
_cell_angle_beta 74.75
_cell_angle_gamma 89.79
loop_
_space_group_symop_operation_xyz
'x,y,z'
'-x,-y,-z'
loop_
_atom_site_label
_atom_site_type_symbol
_atom_site_fract_x
_atom_site_fract_y
_atom_site_fract_z
Cs1 Cs 0.000 0.000 0.000
Ac1 Ac 0.381 0.500 0.305
Re1 Re 0.000 0.000 0.500
O1 O 0.179 0.259 0.600
O2 O 0.183 0.746 0.601
O3 O 0.322 0.000 0.302
O4 O 0.335 0.498 0.004
```

Results
The uncorrected formation energy comes out at -2607.2 kJ/mol of formula units.

***

Record 5
## CsTiCr2 (PBE)

Data for a relaxed CsTiCr2 crystal.

Geometry as CIF:
```
data_CsTiCr2
_space_group_name_H-M_alt 'F m -3 m'
_space_group_IT_number 225
_space_group_name_Hall '-F 4 2 3'
_cell_length_a 7.089
_cell_length_b 7.089
_cell_length_c 7.089
_cell_angle_alpha 90.00
_cell_angle_beta 90.00
_cell_angle_gamma 90.00
loop_
_atom_site_label
_atom_site_type_symbol
_atom_site_fract_x
_atom_site_fract_y
_atom_site_fract_z
Cs1 Cs 0.000 0.000 0.000
Ti1 Ti 0.000 0.000 0.500
Cr1 Cr 0.250 0.250 0.250
```

Results
The calculation puts the formation enthalpy at 0 K at 1.629 eV per atom.

***

Record 6
## YCdNi (PBE)

Data for a relaxed YCdNi crystal.

Geometry as CIF:
```
data_YCdNi
_space_group_name_H-M_alt 'C 1 2/m 1'
_space_group_IT_number 12
_cell_length_a 12.547
_cell_length_b 3.957
_cell_length_c 5.164
_cell_angle_alpha 90.00
_cell_angle_beta 101.37
_cell_angle_gamma 90.00
loop_
_space_group_symop_operation_xyz
'x,y,z'
'-x,-y,-z'
'-x,y,-z'
'x,-y,z'
'x+1/2,y+1/2,z'
'-x+1/2,-y+1/2,-z'
'-x+1/2,y+1/2,-z'
'x+1/2,-y+1/2,z'
loop_
_atom_site_label
_atom_site_type_symbol
_atom_site_fract_x
_atom_site_fract_y
_atom_site_fract_z
Y1 Y 0.136 0.000 0.314
Cd1 Cd 0.078 0.500 0.779
Ni1 Ni 0.230 0.000 0.860
```

Results
The calculation puts the formation enthalpy at 0 K at -0.356 eV per atom.

***

Record 7
## TiSn3 (PBE)

Data for a relaxed TiSn3 crystal.

Geometry as CIF:
```
data_TiSn3
_space_group_name_H-M_alt 'P 63/m m c'
_space_group_IT_number 194
_space_group_name_Hall '-P 6c 2c'
_cell_length_a 6.2522
_cell_length_b 6.2522
_cell_length_c 5.5436
_cell_angle_alpha 90.00
_cell_angle_beta 90.00
_cell_angle_gamma 120.00
loop_
_atom_site_label
_atom_site_type_symbol
_atom_site_fract_x
_atom_site_fract_y
_atom_site_fract_z
Ti1 Ti 0.3333 0.6667 0.2500
Sn1 Sn 0.1710 0.3419 0.7500
```

Results
The calculation puts the formation enthalpy at 0 K at 0.094 eV per atom.

***

Record 8
## IrRu2Au (PBE)

Data for a relaxed IrRu2Au crystal.

Geometry as CIF:
```
data_IrRu2Au
_space_group_name_H-M_alt 'C m m 2'
_space_group_IT_number 35
_cell_length_a 2.762
_cell_length_b 4.711
_cell_length_c 9.543
_cell_angle_alpha 90.00
_cell_angle_beta 90.00
_cell_angle_gamma 90.00
loop_
_space_group_symop_operation_xyz
'x,y,z'
'-x,-y,z'
'-x,y,z'
'x,-y,z'
'x+1/2,y+1/2,z'
'-x+1/2,-y+1/2,z'
'-x+1/2,y+1/2,z'
'x+1/2,-y+1/2,z'
loop_
_atom_site_label
_atom_site_type_symbol
_atom_site_fract_x
_atom_site_fract_y
_atom_site_fract_z
Ir1 Ir 0.000 0.000 0.000
Ru1 Ru 0.000 0.000 0.529
Ru2 Ru 0.000 0.500 0.762
Au1 Au 0.000 0.500 0.266
```

Results
For the distance to the lowest polymorph of the same formula, the calculation gives 93 kJ/mol of formula units. The calculation puts the formation enthalpy at 0 K at 0.455 eV per atom.